# 1
Compound: HfMo3Br
Source: Alexandria
Functional: PBE
Structure: optimized geometry

Output
density = 9.28 g/cm³
magnetization = 0.580 μB per cell
calculated volume = 19.552 Å³/atom
raw formation energy = 1.249 eV per atom
raw total energy = -7.57 eV/atom
offset from the most stable computed form = 0 meV/atom

abc: 4.607 4.607 4.607
angles: 90.00 90.00 90.00
Space group Pm-3m (No. 221)
Unique sites:
Hf1 0.000 0.000 0.000 [1 per cell]
Mo1 0.000 0.500 0.500 [3 per cell]
Br1 0.500 0.500 0.500 [1 per cell]



# 2
Compound: HfMoBr2
Source: Alexandria
Functional: PBE
Structure: optimized geometry

Output
density = 8.51 g/cm³
magnetization = 0.000 μB per cell
calculated volume = 21.181 Å³/atom
raw formation energy = 0.317 eV per atom
raw total energy = -5.72 eV/atom
offset from the most stable computed form = 130 meV/atom

abc: 4.412 4.412 17.412
angles: 90.00 90.00 90.00
Space group I-42d (No. 122)
Unique sites:
Hf1 0.000 0.000 0.000 [4 per cell]
Mo1 0.000 0.000 0.500 [4 per cell]
Br1 0.241 0.250 0.625 [8 per cell]



# 3
Compound: Hf2MoPBr
Source: Alexandria
Functional: PBE
Structure: optimized geometry

Output
density = 8.57 g/cm³
magnetization = 0.000 μB per cell
calculated volume = 21.857 Å³/atom
raw formation energy = 1.155 eV per atom
raw total energy = -6.41 eV/atom

abc: 4.909 4.909 4.536
angles: 90.00 90.00 90.00
Space group P4/mmm (No. 123)
Unique sites:
Hf1 0.000 0.500 0.000 [2 per cell]
Mo1 0.000 0.000 0.500 [1 per cell]
P1 0.500 0.500 0.500 [1 per cell]
Br1 0.000 0.000 0.000 [1 per cell]



# 4
Compound: HfMoPbBr2
Source: Alexandria
Functional: PBE
Structure: optimized geometry

Output
density = 5.62 g/cm³
magnetization = 3.907 μB per cell
calculated volume = 37.933 Å³/atom
raw formation energy = 1.419 eV per atom
raw total energy = -4.15 eV/atom

abc: 5.607 5.607 6.034
angles: 90.00 90.00 90.00
Space group P4/mmm (No. 123)
Unique sites:
Hf1 0.000 0.000 0.000 [1 per cell]
Mo1 0.500 0.500 0.000 [1 per cell]
Pb1 0.000 0.000 0.500 [1 per cell]
Br1 0.000 0.500 0.500 [2 per cell]



# 5
Compound: Rb2HfMoBr6
Source: Alexandria
Functional: PBE
Structure: optimized geometry

Output
density = 5.11 g/cm³
magnetization = 0.000 μB per cell
calculated volume = 30.065 Å³/atom
raw formation energy = -0.834 eV per atom
raw total energy = -4.11 eV/atom

abc: 10.634 10.634 10.634
angles: 90.00 90.00 90.00
Space group Fm-3m (No. 225)
Unique sites:
Rb1 0.250 0.250 0.250 [8 per cell]
Hf1 0.000 0.000 0.000 [4 per cell]
Mo1 0.000 0.000 0.500 [4 per cell]
Br1 0.000 0.000 0.250 [24 per cell]



# 6
Compound: HfMoSeBr2
Source: Alexandria
Functional: PBE
Structure: optimized geometry

Output
density = 6.79 g/cm³
magnetization = 0.002 μB per cell
calculated volume = 25.107 Å³/atom
raw formation energy = 0.676 eV per atom
raw total energy = -4.85 eV/atom
offset from the most stable computed form = 449 meV/atom

abc: 5.071 5.071 4.882
angles: 90.00 90.00 90.00
Space group P4/mmm (No. 123)
Unique sites:
Hf1 0.000 0.000 0.000 [1 per cell]
Mo1 0.500 0.500 0.500 [1 per cell]
Se1 0.500 0.500 0.000 [1 per cell]
Br1 0.000 0.500 0.500 [2 per cell]



# 7
Compound: HfMoSeBr2
Source: Alexandria
Functional: PBE
Structure: optimized geometry

Output
density = 5.93 g/cm³
magnetization = 5.218 μB per cell
calculated volume = 28.725 Å³/atom
raw formation energy = 0.226 eV per atom
raw total energy = -5.30 eV/atom
offset from the most stable computed form = 0 meV/atom

abc: 5.262 5.262 5.187
angles: 90.00 90.00 90.00
Space group P4/mmm (No. 123)
Unique sites:
Hf1 0.000 0.000 0.000 [1 per cell]
Mo1 0.500 0.500 0.500 [1 per cell]
Se1 0.000 0.000 0.500 [1 per cell]
Br1 0.000 0.500 0.000 [2 per cell]



# 8
Compound: HfBrN3
Source: Alexandria
Functional: PBE
Structure: optimized geometry

Output
density = 6.54 g/cm³
magnetization = 0.000 μB per cell
calculated volume = 15.264 Å³/atom
raw formation energy = 1.165 eV per atom
raw total energy = -6.16 eV/atom

abc: 4.242 4.242 4.242
angles: 90.00 90.00 90.00
Space group Pm-3m (No. 221)
Unique sites:
Hf1 0.000 0.000 0.000 [1 per cell]
Br1 0.500 0.500 0.500 [1 per cell]
N1 0.000 0.000 0.500 [3 per cell]